## Pm2MgZn3Cu12 (PBE-GGA)

Data for crystalline Pm2MgZn3Cu12 at its relaxed geometry.

a = 6.5787 Å, b = 6.5787 Å, c = 6.5787 Å
α = 84.84°, β = 84.84°, γ = 84.84°
Sites, in units of the cell vectors:
Pm 0.2033 0.2033 0.2033
Pm 0.7967 0.7967 0.7967
Mg 0.5000 0.5000 0.5000
Zn 0.0000 0.5000 0.5000
Zn 0.5000 0.0000 0.5000
Zn 0.5000 0.5000 0.0000
Cu 0.0856 0.0856 0.6361
Cu 0.0856 0.6361 0.0856
Cu 0.2216 0.6993 0.6993
Cu 0.3007 0.3007 0.7784
Cu 0.3007 0.7784 0.3007
Cu 0.3639 0.9144 0.9144
Cu 0.6361 0.0856 0.0856
Cu 0.6993 0.2216 0.6993
Cu 0.6993 0.6993 0.2216
Cu 0.7784 0.3007 0.3007
Cu 0.9144 0.3639 0.9144
Cu 0.9144 0.9144 0.3639

Output
Magnetization, μB/f.u.: 0.00
DFT total energy, eV/atom: -3.4895
Fermi-level density of states, states/eV per atom: 0.447
Formation energy from the elements, eV/atom: 0.070